Material: Ce2PmHoAs4
Method: DFT, PBE
State: relaxed

Values from the calculation:
Space group ... P2/m (10)
Formation enthalpy at 0 K ... -1140 kJ/mol of formula units
Total energy ... -51.61 eV for the cell shown
Crystal system ... monoclinic

a = 7.2545 Å, b = 4.1940 Å, c = 7.2655 Å
α = 90.00°, β = 109.48°, γ = 90.00°
Last column: nearest neighbours and their distance in Å.
Element x y z (fractional)
Ce 0.0000 0.0000 0.0000  6 As 2.95
Ce 0.0000 0.5000 0.5000  6 As 2.99
Pm 0.5000 0.0000 0.5000  6 As 2.98
Ho 0.5000 0.5000 0.0000  6 As 2.94
As 0.2493 0.5000 0.2455  1 Ho 2.94, 3 Ce 2.95-2.99, 2 Pm 2.98
As 0.2525 0.0000 0.7551  2 Ho 2.94, 3 Ce 2.95-2.99, 1 Pm 2.98
As 0.7475 0.0000 0.2449  2 Ho 2.94, 3 Ce 2.95-2.99, 1 Pm 2.98
As 0.7507 0.5000 0.7545  1 Ho 2.94, 3 Ce 2.95-2.99, 2 Pm 2.98